Entry 1:
Computed, not measured: EuEr3B after structural relaxation at the PBE level of DFT.

Lattice parameters (Å, degrees): 5.1749 5.1749 5.1749 90.00 90.00 90.00
With the nearest neighbours (Å) after each atom.
Space group Pm-3m (No. 221)
Asymmetric unit:
1 Eu 0.0000 0.0000 0.0000 (multiplicity 1)  12 Er 3.66
2 Er 0.0000 0.5000 0.5000 (multiplicity 3)  2 B 2.59
3 B 0.5000 0.5000 0.5000 (multiplicity 1)  6 Er 2.59

- Calculated volume: 27.717 A^3/atom
- VASP energy: -6.08 eV per atom

Entry 2:
Computed, not measured: ErBF6 after structural relaxation at the PBE level of DFT.

Lattice parameters (Å, degrees): 5.0491 5.0491 13.1528 90.00 90.00 120.00
With the nearest neighbours (Å) after each atom.
Space group R-3 (No. 148, hexagonal axes)
Asymmetric unit:
1 Er 0.0000 0.0000 0.0000 (multiplicity 3)  6 F 2.17
2 B 0.0000 0.0000 0.5000 (multiplicity 3)  6 F 1.63
3 F 0.0360 0.2799 0.5714 (multiplicity 18)  1 B 1.63

- Raw formation energy: -3.1078 eV/atom
- Calculated volume: 12.099 A^3/atom
- VASP energy: -5.92 eV per atom